Here is an optimized crystal structure of Ni2PdF6 from the Alexandria database. Energies are from GGA+U.

Structure (POSCAR):
```
Ni2PdF6
1.0
-4.342 -2.114 0.121
0.146 -0.574 -4.795
4.225 -8.611 1.160
Ni F Pd
4 12 2
Cartesian
0.706 -1.439 0.194
-0.692 -4.210 -1.951
0.721 -7.089 -1.563
3.519 -7.172 0.966
0.779 -5.160 -0.906
-0.498 -2.331 -1.185
-2.072 -4.578 -0.501
-3.525 -1.834 -0.775
2.225 -7.881 -0.437
-0.750 -6.139 -2.609
0.599 -3.661 -3.426
-2.196 -3.419 -3.077
-0.571 -7.639 -0.088
2.101 -6.722 -3.014
0.527 -8.969 -2.330
-0.671 -0.855 -3.900
-2.098 -1.344 -2.337
2.112 -4.306 0.580
```

## Properties
The polymorph energy (0 for the lowest one) is 0 meV per atom. The total magnetic moment comes out at 6.00 μB per formula unit. The crystal system is tetragonal. The calculation puts the volume at 12.5 Å³ per atom. As for the symmetry: P4_2/mnm.